This record from Alexandria via LeMat-Bulk describes Ba2MgInO5 after structural relaxation. The functional is PBE-GGA.

Values from the calculation:
Crystal system   orthorhombic
Energy relative to the elements, uncorrected   -2.046 eV/atom
V   146 Å³/f.u.
Total magnetization   2.13 μB per cell

Geometry as POSCAR:
```
Ba2MgInO5
1.0
3.683 0.000 0.000
-1.841 7.137 0.000
0.000 0.000 11.140
O Mg In Ba
10 2 2 4
direct
0.692 0.384 0.914
0.935 0.869 0.549
0.716 0.433 0.126
0.284 0.567 0.626
0.065 0.131 0.049
0.374 0.747 0.997
0.501 0.001 0.784
0.499 0.999 0.284
0.308 0.616 0.414
0.626 0.253 0.497
0.780 0.561 0.514
0.220 0.439 0.014
0.465 0.929 0.466
0.535 0.071 0.966
0.893 0.786 0.176
0.136 0.273 0.297
0.864 0.727 0.797
0.107 0.214 0.676
```

This record from Alexandria via LeMat-Bulk describes CaTcPt2 after structural relaxation. The functional is PBE-GGA.

Values from the calculation:
Crystal system   trigonal
Energy above the most stable polymorph in this dataset   356.9 meV per atom
Formation energy from the elements   0.065 eV per atom
V   68 Å³/f.u.
Total magnetization   0.29 μB per cell

Geometry as POSCAR:
```
CaTcPt2
1.0
9.526 0.018 0.010
9.080 2.882 0.010
9.080 1.415 2.511
Pt Ca Tc
2 1 1
direct
0.995 0.995 0.995
0.505 0.505 0.505
0.750 0.750 0.750
0.250 0.250 0.250
```

This record from Alexandria via LeMat-Bulk describes RbPu5Cl12 after structural relaxation. The functional is PBE-GGA.

Values from the calculation:
Crystal system   monoclinic
Energy relative to the elements, uncorrected   -1.827 eV/atom
V   618 Å³/f.u.
Total magnetization   6.62 μB per cell

Geometry as POSCAR:
```
RbPu5Cl12
1.0
-2.786 -6.732 -1.218
4.379 -5.399 -2.574
3.023 -3.255 12.242
Pu Cl Rb
5 12 1
direct
0.667 0.667 0.000
0.500 0.000 0.500
0.167 0.667 0.500
0.833 0.333 0.500
0.333 0.333 0.000
0.832 0.000 0.390
0.378 0.618 0.880
0.168 0.000 0.610
0.387 0.000 0.121
0.836 0.667 0.609
0.497 0.667 0.391
0.503 0.333 0.609
0.613 0.000 0.879
0.622 0.382 0.120
0.004 0.618 0.120
0.164 0.333 0.391
0.996 0.382 0.880
0.000 0.000 0.000
```

This record from Alexandria via LeMat-Bulk describes TlBrO2 after structural relaxation. The functional is PBE-GGA.

Values from the calculation:
Crystal system   monoclinic
Energy above the most stable polymorph in this dataset   23.7 meV per atom
Energy relative to the elements, uncorrected   -0.321 eV/atom
V   125 Å³/f.u.
Total magnetization   4.00 μB per cell

Geometry as POSCAR:
```
TlBrO2
1.0
-15.149 -2.878 1.265
0.943 -4.911 0.119
7.464 1.575 5.850
O Tl Br
8 4 4
direct
0.404 0.500 0.891
0.366 0.501 0.969
0.866 0.999 0.469
0.134 0.001 0.531
0.096 0.000 0.609
0.634 0.499 0.031
0.904 0.000 0.391
0.596 0.500 0.109
0.691 0.999 0.873
0.809 0.499 0.627
0.309 0.001 0.127
0.191 0.501 0.373
0.129 0.501 0.982
0.371 0.001 0.518
0.629 0.999 0.482
0.871 0.499 0.018
```

This record from Alexandria via LeMat-Bulk describes EuMnP2 after structural relaxation. The functional is PBE-GGA.

Values from the calculation:
Crystal system   trigonal
Formation energy from the elements   -0.332 eV per atom
V   76 Å³/f.u.
Total magnetization   3.75 μB per cell

Geometry as POSCAR:
```
EuMnP2
1.0
-2.056 -4.158 -2.003
-1.850 -3.608 3.015
-4.364 -1.054 0.295
Mn P Eu
1 2 1
direct
0.000 0.000 0.000
0.774 0.774 0.678
0.226 0.226 0.322
0.500 0.500 0.500
```

This record from Alexandria via LeMat-Bulk describes LaLuS2 after structural relaxation. The functional is PBE-GGA.

Values from the calculation:
Crystal system   trigonal
Energy relative to the elements, uncorrected   -2.040 eV/atom
V   89 Å³/f.u.
Total magnetization   0.00 μB per cell

Geometry as POSCAR:
```
LaLuS2
1.0
-3.099 2.188 0.947
-0.776 0.770 3.754
2.520 6.535 1.217
Lu S La
1 2 1
direct
0.000 0.000 0.000
0.740 0.740 0.781
0.260 0.260 0.219
0.500 0.500 0.500
```

This record from Alexandria via LeMat-Bulk describes Dy7Mg after structural relaxation. The functional is PBE-GGA.

Values from the calculation:
Crystal system   cubic
Formation energy from the elements   0.019 eV per atom
V   243 Å³/f.u.
Total magnetization   0.00 μB per cell

Geometry as POSCAR:
```
Dy7Mg
1.0
6.064 0.000 3.501
2.021 5.717 3.501
0.000 0.000 7.002
Dy Mg
7 1
direct
0.500 0.000 0.500
0.000 0.500 0.000
0.000 0.000 0.500
0.000 0.500 0.500
0.500 0.000 0.000
0.500 0.500 0.000
0.500 0.500 0.500
0.000 0.000 0.000
```

This record from Alexandria via LeMat-Bulk describes RbInPb3 after structural relaxation. The functional is PBE-GGA.

Values from the calculation:
Crystal system   orthorhombic
Energy above the most stable polymorph in this dataset   34.6 meV per atom
Formation energy from the elements   -0.051 eV per atom
V   182 Å³/f.u.
Total magnetization   0.00 μB per cell

Geometry as POSCAR:
```
RbInPb3
1.0
7.158 -0.001 0.000
0.000 7.137 -0.001
0.000 0.001 7.113
In Rb Pb
2 2 6
direct
0.129 0.782 0.701
0.628 0.570 0.201
0.467 0.415 0.701
0.967 0.938 0.201
0.832 0.077 0.701
0.475 0.914 0.951
0.975 0.439 0.452
0.475 0.914 0.450
0.975 0.439 0.950
0.332 0.276 0.201
```

This record from Alexandria via LeMat-Bulk describes InP4Pt after structural relaxation. The functional is PBE-GGA.

Values from the calculation:
Crystal system   cubic
Formation energy from the elements   0.569 eV per atom
V   120 Å³/f.u.
Total magnetization   0.00 μB per cell

Geometry as POSCAR:
```
InP4Pt
1.0
3.870 -0.290 3.951
-1.427 0.568 5.321
0.169 -4.373 3.394
Pt P In
1 4 1
direct
0.750 0.750 0.750
0.399 0.803 0.399
0.803 0.399 0.399
0.399 0.399 0.803
0.399 0.399 0.399
0.000 0.000 0.000
```

This record from Alexandria via LeMat-Bulk describes Dy2Tm2Ru after structural relaxation. The functional is PBE-GGA.

Values from the calculation:
Crystal system   monoclinic
Formation energy from the elements   -0.179 eV per atom
V   140 Å³/f.u.
Total magnetization   0.01 μB per cell

Geometry as POSCAR:
```
Dy2Tm2Ru
1.0
-2.261 -6.050 3.340
-2.701 -5.306 -3.524
4.722 -5.947 1.183
Dy Ru Tm
4 2 4
direct
0.173 0.000 0.597
0.649 0.000 0.093
0.827 0.000 0.403
0.351 0.000 0.907
0.871 0.257 0.000
0.129 0.743 0.000
0.575 0.447 0.753
0.022 0.553 0.753
0.978 0.447 0.247
0.425 0.553 0.247
```

This record from Alexandria via LeMat-Bulk describes HgIrSe2 after structural relaxation. The functional is PBE-GGA.

Values from the calculation:
Crystal system   orthorhombic
Energy relative to the elements, uncorrected   0.218 eV/atom
V   92 Å³/f.u.
Total magnetization   0.00 μB per cell

Geometry as POSCAR:
```
HgIrSe2
1.0
3.110 -0.020 0.000
-0.241 3.101 0.000
0.000 0.000 9.511
Se Hg Ir
2 1 1
direct
0.000 0.000 0.587
0.000 0.000 0.913
0.500 0.500 0.250
0.500 0.500 0.750
```

This record from Alexandria via LeMat-Bulk describes MgU4S7 after structural relaxation. The functional is PBE-GGA.

Values from the calculation:
Crystal system   trigonal
Energy relative to the elements, uncorrected   -1.234 eV/atom
V   292 Å³/f.u.
Total magnetization   1.65 μB per cell

Geometry as POSCAR:
```
MgU4S7
1.0
-1.830 2.998 -1.359
-0.590 -1.117 3.548
17.649 14.120 7.382
S U Mg
7 4 1
direct
0.000 0.000 0.139
0.000 0.000 0.861
0.333 0.667 0.438
0.667 0.333 0.562
0.333 0.667 0.292
0.000 0.000 0.000
0.667 0.333 0.708
0.667 0.333 0.357
0.333 0.667 0.643
0.667 0.333 0.927
0.333 0.667 0.073
0.000 0.000 0.500
```

This record from Alexandria via LeMat-Bulk describes CdSiPt after structural relaxation. The functional is PBE-GGA.

Values from the calculation:
Crystal system   trigonal
Energy relative to the elements, uncorrected   -0.197 eV/atom
V   57 Å³/f.u.
Total magnetization   0.00 μB per cell

Geometry as POSCAR:
```
CdSiPt
1.0
3.293 0.000 0.000
-1.646 2.851 0.000
0.000 0.000 6.030
Si Pt Cd
1 1 1
direct
0.333 0.667 0.615
0.667 0.333 0.379
0.000 0.000 0.006
```

This record from Alexandria via LeMat-Bulk describes SmGa7Ag5 after structural relaxation. The functional is PBE-GGA.

Values from the calculation:
Crystal system   orthorhombic
Formation energy from the elements   -0.157 eV per atom
V   243 Å³/f.u.
Total magnetization   0.00 μB per cell

Geometry as POSCAR:
```
SmGa7Ag5
1.0
-3.551 1.511 4.167
0.360 -4.251 5.718
2.727 4.891 4.420
Ag Ga Sm
5 7 1
direct
0.501 0.492 0.005
0.731 0.769 0.769
0.501 0.005 0.492
0.002 0.492 0.005
0.002 0.005 0.492
0.640 0.360 0.360
0.272 0.228 0.228
0.504 0.809 0.182
0.997 0.353 0.653
0.504 0.182 0.809
0.997 0.653 0.353
0.351 0.649 0.649
0.998 0.002 0.002
```

This record from Alexandria via LeMat-Bulk describes Li2CrTc after structural relaxation. The functional is PBE-GGA.

Values from the calculation:
Crystal system   tetragonal
Energy above the most stable polymorph in this dataset   183.8 meV per atom
Formation energy from the elements   0.422 eV per atom
V   54 Å³/f.u.
Total magnetization   0.12 μB per cell

Geometry as POSCAR:
```
Li2CrTc
1.0
2.426 0.000 0.000
0.000 2.426 0.000
0.000 0.000 9.183
Li Tc Cr
2 1 1
direct
0.000 0.000 0.001
0.000 0.000 0.499
0.500 0.500 0.250
0.500 0.500 0.750
```

This record from Alexandria via LeMat-Bulk describes PmHo3Sc5 after structural relaxation. The functional is PBE-GGA.

Values from the calculation:
Crystal system   tetragonal
Formation energy from the elements   0.287 eV per atom
V   247 Å³/f.u.
Total magnetization   0.00 μB per cell

Geometry as POSCAR:
```
PmHo3Sc5
1.0
-0.156 -7.508 -3.526
-3.336 -3.172 6.901
-4.830 6.680 -4.251
Pm Sc Ho
2 10 6
direct
0.250 0.750 0.500
0.750 0.250 0.500
0.569 0.661 0.730
0.339 0.839 0.270
0.161 0.069 0.730
0.000 0.000 0.000
0.431 0.339 0.270
0.931 0.431 0.270
0.500 0.500 0.000
0.661 0.161 0.730
0.069 0.569 0.730
0.839 0.931 0.270
0.380 0.880 0.000
0.620 0.120 0.000
0.250 0.250 0.500
0.750 0.750 0.500
0.880 0.620 0.000
0.120 0.380 0.000
```

This record from Alexandria via LeMat-Bulk describes K2InBr after structural relaxation. The functional is PBE-GGA.

Values from the calculation:
Crystal system   orthorhombic
Energy above the most stable polymorph in this dataset   155.0 meV per atom
Energy relative to the elements, uncorrected   -0.613 eV/atom
V   148 Å³/f.u.
Total magnetization   0.00 μB per cell

Geometry as POSCAR:
```
K2InBr
1.0
6.221 0.018 -0.012
-1.383 6.066 -0.012
0.010 0.013 3.918
K In Br
2 1 1
direct
0.000 0.000 0.000
0.500 0.500 0.000
0.000 0.500 0.500
0.500 0.000 0.500
```

This record from Alexandria via LeMat-Bulk describes Cs5Y2Br12 after structural relaxation. The functional is PBE-GGA.

Values from the calculation:
Crystal system   monoclinic
Energy relative to the elements, uncorrected   -1.674 eV/atom
V   945 Å³/f.u.
Total magnetization   1.07 μB per cell

Geometry as POSCAR:
```
Cs5Y2Br12
1.0
9.772 0.439 2.735
2.407 9.540 3.650
0.940 -0.179 10.450
Cs Y Br
5 2 12
direct
0.489 0.340 0.340
0.500 0.000 0.000
0.037 0.256 0.256
0.963 0.744 0.744
0.511 0.660 0.660
0.000 0.192 0.808
0.000 0.808 0.192
0.800 0.732 0.120
0.806 0.826 0.452
0.276 0.560 0.560
0.806 0.452 0.826
0.844 0.105 0.105
0.200 0.268 0.880
0.200 0.880 0.268
0.724 0.440 0.440
0.194 0.548 0.174
0.156 0.895 0.895
0.194 0.174 0.548
0.800 0.120 0.732
```

This record from Alexandria via LeMat-Bulk describes Pm4As3I after structural relaxation. The functional is PBE-GGA.

Values from the calculation:
Crystal system   orthorhombic
Energy relative to the elements, uncorrected   -1.406 eV/atom
V   226 Å³/f.u.
Total magnetization   0.00 μB per cell

Geometry as POSCAR:
```
Pm4As3I
1.0
4.267 -0.052 0.074
0.053 7.186 2.066
-0.123 0.386 7.467
I Pm As
1 4 3
direct
0.500 0.500 0.000
0.000 0.222 0.278
0.500 0.763 0.263
0.000 0.778 0.722
0.500 0.237 0.737
0.000 0.500 0.500
0.000 0.000 0.000
0.500 0.000 0.500
```

This record from Alexandria via LeMat-Bulk describes RbMg2As after structural relaxation. The functional is PBE-GGA.

Values from the calculation:
Crystal system   tetragonal
Energy above the most stable polymorph in this dataset   0.0 meV per atom
Formation energy from the elements   -0.064 eV per atom
V   140 Å³/f.u.
Total magnetization   0.00 μB per cell

Geometry as POSCAR:
```
RbMg2As
1.0
-5.213 5.176 -5.195
-7.214 -4.762 2.496
-6.719 2.365 1.307
Rb As Mg
2 2 4
direct
0.000 0.000 0.000
0.750 0.250 0.500
0.250 0.750 0.500
0.500 0.500 0.000
0.875 0.758 0.750
0.375 0.492 0.750
0.508 0.125 0.250
0.242 0.625 0.250
```